Density functional theory data (meta-GGA SCAN) for a PBEsol-optimized structure of Mg2SiW.

space-group type: I-4m2 (119)
Fermi-level density of states: 0.29 states/eV/f.u.
formation energy without anion corrections: 0.245 eV per atom
V: 63 Å³ per cell

Lattice parameters (Å, degrees): 4.951 4.951 4.951 133.63 133.63 67.67
Sites, in units of the cell vectors:
Mg 0.000 0.000 0.000
Mg 0.750 0.250 0.500
Si 0.500 0.500 0.000
W 0.250 0.750 0.500